Below is CuTcSn2Sb after structural relaxation, with properties calculated at the PBE-GGA level.

abc: 5.717 5.024 5.717
angles: 90.00 90.00 90.00
Site moments in Bohr magnetons follow the coordinates.
Atoms (fractional coordinates):
Sb (0.000, 0.000, 0.000)  -0.03
Sn (0.000, 0.000, 0.500)  0.00
Sn (0.500, 0.000, 0.000)  -0.05
Cu (0.500, 0.500, 0.500)  0.02
Tc (0.000, 0.500, 0.000)  2.31

Summary:
total moment = 2.54 μB/f.u.
E_form (uncorrected) = 1.40 eV per atom



Below is Pu2HSe2 after structural relaxation, with properties calculated at the PBE-GGA level.

abc: 4.031 7.153 7.863
angles: 90.00 104.85 90.00
Site moments in Bohr magnetons follow the coordinates.
Atoms (fractional coordinates):
Pu (0.425, 0.424, 0.850)  5.37
Pu (0.845, 0.003, 0.691)  5.33
Pu (0.155, 0.503, 0.309)  5.33
Pu (0.575, 0.924, 0.150)  5.37
H (0.390, 0.110, 0.779)  -0.03
H (0.610, 0.610, 0.221)  -0.03
Se (0.976, 0.708, 0.953)  -0.11
Se (0.783, 0.389, 0.566)  -0.11
Se (0.217, 0.889, 0.434)  -0.11
Se (0.024, 0.208, 0.047)  -0.11

Summary:
total moment = 11.00 μB/f.u.
energy relative to the lowest polymorph listed for this composition = 0.066 eV per atom



Below is CaReAg2 after structural relaxation, with properties calculated at the PBE-GGA level.

abc: 5.270 5.270 5.462
angles: 82.74 82.74 30.44
Atoms (fractional coordinates):
Re (0.750, 0.750, 0.750)
Ca (0.250, 0.250, 0.250)
Ag (0.011, 0.011, 0.976)
Ag (0.489, 0.489, 0.524)

Summary:
formation energy = 0.546 eV/atom
total moment = 0.00 μB/f.u.
energy relative to the lowest polymorph listed for this composition = 0.072 eV per atom



Below is Cs3Ca2Cl7 after structural relaxation, with properties calculated at the PBE-GGA level.

abc: 14.661 14.661 14.661
angles: 158.53 158.53 30.54
Atoms (fractional coordinates):
Cs (0.316, 0.316, 0.000)
Cs (0.684, 0.684, 0.000)
Cs (0.500, 0.500, 0.000)
Ca (0.098, 0.098, 0.000)
Ca (0.902, 0.902, 0.000)
Cl (0.595, 0.095, 0.500)
Cl (0.405, 0.905, 0.500)
Cl (0.095, 0.595, 0.500)
Cl (0.905, 0.405, 0.500)
Cl (0.194, 0.194, 0.000)
Cl (0.806, 0.806, 0.000)
Cl (0.000, 0.000, 0.000)

Summary:
total moment = 0.00 μB/f.u.
energy relative to the lowest polymorph listed for this composition = 0.000 eV per atom
E_form (uncorrected) = -2.24 eV per atom



Below is Y2HoSn after structural relaxation, with properties calculated at the PBE-GGA level.

abc: 3.517 3.517 12.080
angles: 81.63 81.63 60.00
Atoms (fractional coordinates):
Y (0.087, 0.087, 0.739)
Y (0.913, 0.913, 0.261)
Ho (0.500, 0.500, 0.500)
Sn (0.000, 0.000, 0.000)

Summary:
formation energy = 0.048 eV/atom
total moment = 0.00 μB/f.u.
energy relative to the lowest polymorph listed for this composition = 0.461 eV per atom



Below is As2PdW after structural relaxation, with properties calculated at the PBE-GGA level.

abc: 2.951 2.951 9.316
angles: 80.89 80.89 60.00
Atoms (fractional coordinates):
As (0.093, 0.093, 0.722)
As (0.907, 0.907, 0.278)
Pd (0.500, 0.500, 0.500)
W (0.000, 0.000, 0.000)

Summary:
formation energy = 0.404 eV/atom
total moment = 0.00 μB/f.u.
energy relative to the lowest polymorph listed for this composition = 0.171 eV per atom